NbCu2PbCl | PBE-GGA | relaxed

Properties
E	-4.0513	eV per atom
DOS at the Fermi energy	0.8008	states/eV/atom
mass density	7.908	Mg/m³
energy relative to the elements, uncorrected	68.71	kJ per mole of atoms

a = 4.5425 Å, b = 4.5425 Å, c = 4.7082 Å
α = 90.00°, β = 90.00°, γ = 90.00°
Positions (direct):
Nb: 0.0000 0.0000 0.0000
Cu: 0.0000 0.5000 0.5000
Cu: 0.5000 0.0000 0.5000
Pb: 0.5000 0.5000 0.0000
Cl: 0.0000 0.0000 0.5000